Crystalline AcGe2PbAu5 at its relaxed geometry. Source: the Alexandria database, functional GGA-PBE.

Properties
- uncorrected energy (eV/atom) = -3.92

abc: 4.7626 4.7626 10.1905
angles: 90.00 90.00 90.00
Atoms (fractional coordinates):
Ac 0.0000 0.0000 0.0000
Ge 0.5000 0.5000 0.2390
Ge 0.5000 0.5000 0.7610
Pb 0.0000 0.0000 0.5000
Au 0.0000 0.5000 0.3129
Au 0.0000 0.5000 0.6871
Au 0.5000 0.0000 0.3129
Au 0.5000 0.0000 0.6871
Au 0.5000 0.5000 0.0000